1.
Density functional theory data (GGA-PBE) for ZnCrRh2 after structural relaxation.

Values from the calculation:
final energy = -6.472 eV per atom

a = 2.7797 Å, b = 4.7892 Å, c = 5.2436 Å
α = 53.48°, β = 90.00°, γ = 90.00°
With the nearest neighbours (Å) after each atom.
Sites, in units of the cell vectors:
Zn 0.5000 0.5000 0.5000  6 Rh 2.62-2.66, 4 Cr 2.77, 2 Zn 2.78
Rh 0.0000 0.0000 0.0000  2 Cr 2.62, 4 Zn 2.66, 6 Rh 2.77-2.78
Rh 0.5000 0.5000 0.0000  2 Zn 2.62, 4 Cr 2.66, 6 Rh 2.77-2.78
Cr 0.0000 0.0000 0.5000  6 Rh 2.62-2.66, 4 Zn 2.77, 2 Cr 2.78

=====

2.
Density functional theory data (GGA-PBE) for ZnCrRh2 after structural relaxation.

Values from the calculation:
final energy = -6.136 eV per atom

a = 3.5982 Å, b = 3.5982 Å, c = 6.0063 Å
α = 72.57°, β = 72.57°, γ = 60.00°
With the nearest neighbours (Å) after each atom.
Sites, in units of the cell vectors:
Rh 0.0888 0.0888 0.7335  3 Cr 2.45, 3 Zn 2.56, 1 Rh 2.64
Rh 0.2452 0.2452 0.2645  3 Cr 2.47, 3 Zn 2.56, 1 Rh 2.64
Zn 0.6667 0.6667 0.9998  6 Rh 2.56, 1 Cr 2.83
Cr 0.4993 0.4993 0.5022  6 Rh 2.45-2.47

=====

3.
Density functional theory data (GGA-PBE) for Zn2CrRh2 after structural relaxation.

Values from the calculation:
offset from the most stable computed form = 169 meV/atom
final energy = -5.281 eV per atom

a = 6.2592 Å, b = 6.2592 Å, c = 3.8110 Å
α = 90.00°, β = 90.00°, γ = 90.00°
With the nearest neighbours (Å) after each atom.
Sites, in units of the cell vectors:
Rh 0.6473 0.1473 0.0000  2 Cr 2.39, 2 Zn 2.57, 1 Rh 2.61
Rh 0.8527 0.6473 0.0000  2 Cr 2.39, 2 Zn 2.57, 1 Rh 2.61
Rh 0.3527 0.8527 0.0000  2 Cr 2.39, 2 Zn 2.57, 1 Rh 2.61
Rh 0.1473 0.3527 0.0000  2 Cr 2.39, 2 Zn 2.57, 1 Rh 2.61
Zn 0.1582 0.6582 0.5000  6 Rh 2.57-2.70, 1 Zn 2.80
Zn 0.3418 0.1582 0.5000  6 Rh 2.57-2.70, 1 Zn 2.80
Zn 0.6582 0.8418 0.5000  6 Rh 2.57-2.70, 1 Zn 2.80
Zn 0.8418 0.3418 0.5000  6 Rh 2.57-2.70, 1 Zn 2.80
Cr 0.5000 0.5000 0.0000  4 Rh 2.39
Cr 0.0000 0.0000 0.0000  4 Rh 2.39

=====

Number 1: ΔH_f (0 K) -72 meV per atom. Number 2: ΔH_f (0 K) 264 meV per atom. Number 3: ΔH_f (0 K) 94 meV per atom.